First-principles (PBE) data for an optimized crystal structure of TbMgCu2, as listed in the Alexandria database.

## Properties
Energy = -3.742 eV per atom
N(E_F) = 0.47 states/eV per atom
ΔE_f = -0.138 eV/atom
Spin magnetization = 0.0000 μB/atom

a b c (Å): 3.3411 3.3411 6.6526
angles (deg): 90.00 90.00 90.00
Space group P4/mmm (No. 123)
Inequivalent atoms, fractional coordinates:
Tb (0.0000, 0.0000, 0.0000) x1
Mg (0.0000, 0.0000, 0.5000) x1
Cu (0.5000, 0.5000, 0.2750) x2


First-principles (PBE) data for an optimized crystal structure of TbMgCu17, as listed in the Alexandria database.

## Properties
Energy = -4.046 eV per atom
N(E_F) = 0.42 states/eV per atom
ΔE_f = -0.053 eV/atom
Spin magnetization = 0.0000 μB/atom

a b c (Å): 8.4853 8.4853 12.4464
angles (deg): 90.00 90.00 120.00
Space group R3m (No. 160, hexagonal axes)
Inequivalent atoms, fractional coordinates:
Tb (0.0000, 0.0000, 0.0000) x3
Mg (0.0000, 0.0000, 0.3177) x3
Cu (0.0000, 0.0000, 0.5584) x3
Cu (0.0000, 0.0000, 0.7550) x3
Cu (0.0352, 0.3658, 0.3268) x18
Cu (0.1684, 0.3368, 0.4950) x9
Cu (0.1693, 0.3385, 0.1460) x9
Cu (0.1699, 0.3397, 0.8394) x9


First-principles (PBE) data for an optimized crystal structure of TbMgTlCu, as listed in the Alexandria database.

## Properties
Energy = -3.375 eV per atom
N(E_F) = 0.61 states/eV per atom
ΔE_f = -0.203 eV/atom
Spin magnetization = 0.0000 μB/atom

a b c (Å): 7.0479 7.0479 7.0479
angles (deg): 90.00 90.00 90.00
Space group F-43m (No. 216)
Inequivalent atoms, fractional coordinates:
Tb (0.0000, 0.0000, 0.0000) x4
Mg (0.0000, 0.0000, 0.5000) x4
Tl (0.2500, 0.2500, 0.7500) x4
Cu (0.2500, 0.2500, 0.2500) x4


First-principles (PBE) data for an optimized crystal structure of TbYMgCu, as listed in the Alexandria database.

## Properties
Energy = -4.265 eV per atom
N(E_F) = 1.01 states/eV per atom
ΔE_f = -0.069 eV/atom
Spin magnetization = 0.0000 μB/atom

a b c (Å): 7.2746 7.2746 7.2746
angles (deg): 90.00 90.00 90.00
Space group F-43m (No. 216)
Inequivalent atoms, fractional coordinates:
Tb (0.0000, 0.0000, 0.0000) x4
Y (0.0000, 0.0000, 0.5000) x4
Mg (0.2500, 0.2500, 0.2500) x4
Cu (0.2500, 0.2500, 0.7500) x4


First-principles (PBE) data for an optimized crystal structure of TbMgZnCu, as listed in the Alexandria database.

## Properties
Energy = -3.174 eV per atom
N(E_F) = 0.52 states/eV per atom
ΔE_f = -0.275 eV/atom
Spin magnetization = 0.0000 μB/atom

a b c (Å): 6.7532 6.7532 6.7532
angles (deg): 90.00 90.00 90.00
Space group F-43m (No. 216)
Inequivalent atoms, fractional coordinates:
Tb (0.0000, 0.0000, 0.0000) x4
Mg (0.0000, 0.0000, 0.5000) x4
Zn (0.2500, 0.2500, 0.2500) x4
Cu (0.2500, 0.2500, 0.7500) x4


First-principles (PBE) data for an optimized crystal structure of Mg2CuTc, as listed in the Alexandria database.

## Properties
Energy = -4.220 eV per atom
N(E_F) = 0.63 states/eV per atom
ΔE_f = 0.193 eV/atom
Spin magnetization = 0.0013 μB/atom
Relative energy among the computed polymorphs = 50 meV per atom

a b c (Å): 2.7751 2.7751 8.4760
angles (deg): 90.00 90.00 90.00
Space group P4mm (No. 99)
Inequivalent atoms, fractional coordinates:
Mg (0.0000, 0.0000, 0.0000) x1
Mg (0.5000, 0.5000, 0.3102) x1
Cu (0.5000, 0.5000, 0.7732) x1
Tc (0.0000, 0.0000, 0.5578) x1


First-principles (PBE) data for an optimized crystal structure of Mg3CuTc, as listed in the Alexandria database.

## Properties
Energy = -3.098 eV per atom
N(E_F) = 0.81 states/eV per atom
ΔE_f = 0.752 eV/atom
Spin magnetization = 0.4798 μB/atom
Relative energy among the computed polymorphs = 0 meV per atom

a b c (Å): 4.6894 4.6894 4.6894
angles (deg): 90.00 90.00 90.00
Space group Pm-3m (No. 221)
Inequivalent atoms, fractional coordinates:
Mg (0.0000, 0.0000, 0.5000) x3
Cu (0.0000, 0.0000, 0.0000) x1
Tc (0.5000, 0.5000, 0.5000) x1


First-principles (PBE) data for an optimized crystal structure of Mg2CuTc, as listed in the Alexandria database.

## Properties
Energy = -4.235 eV per atom
N(E_F) = 0.46 states/eV per atom
ΔE_f = 0.178 eV/atom
Spin magnetization = 0.0000 μB/atom
Relative energy among the computed polymorphs = 34 meV per atom

a b c (Å): 2.8421 2.8421 27.2477
angles (deg): 90.00 90.00 120.00
Space group R-3m (No. 166, hexagonal axes)
Inequivalent atoms, fractional coordinates:
Mg (0.0000, 0.0000, 0.2479) x6
Cu (0.0000, 0.0000, 0.5000) x3
Tc (0.0000, 0.0000, 0.0000) x3


First-principles (PBE) data for an optimized crystal structure of Mg2CuTc, as listed in the Alexandria database.

## Properties
Energy = -4.180 eV per atom
N(E_F) = 0.49 states/eV per atom
ΔE_f = 0.233 eV/atom
Spin magnetization = 0.0000 μB/atom
Relative energy among the computed polymorphs = 90 meV per atom

a b c (Å): 2.9115 4.7095 9.0873
angles (deg): 90.00 90.00 90.00
Space group Immm (No. 71)
Inequivalent atoms, fractional coordinates:
Mg (0.0000, 0.0000, 0.2321) x4
Cu (0.0000, 0.5000, 0.5000) x2
Tc (0.0000, 0.5000, 0.0000) x2


First-principles (PBE) data for an optimized crystal structure of Mg2CuTc, as listed in the Alexandria database.

## Properties
Energy = -4.172 eV per atom
N(E_F) = 0.97 states/eV per atom
ΔE_f = 0.240 eV/atom
Spin magnetization = 0.0001 μB/atom
Relative energy among the computed polymorphs = 97 meV per atom

a b c (Å): 2.7800 4.0990 5.6161
angles (deg): 90.00 90.00 90.00
Space group Pmm2 (No. 25)
Inequivalent atoms, fractional coordinates:
Mg (0.0000, 0.0000, 0.0000) x1
Mg (0.5000, 0.5000, 0.2909) x1
Cu (0.5000, 0.5000, 0.7560) x1
Tc (0.0000, 0.0000, 0.5212) x1


First-principles (PBE) data for an optimized crystal structure of Mg2CuTc, as listed in the Alexandria database.

## Properties
Energy = -4.220 eV per atom
N(E_F) = 0.76 states/eV per atom
ΔE_f = 0.193 eV/atom
Spin magnetization = 0.0000 μB/atom
Relative energy among the computed polymorphs = 49 meV per atom

a b c (Å): 2.7404 4.6513 5.0231
angles (deg): 90.00 90.17 90.00
Space group Pm (No. 6)
Inequivalent atoms, fractional coordinates:
Mg (0.0000, 0.0000, 0.0000) x1
Mg (0.0047, 0.5000, 0.6528) x1
Cu (0.5035, 0.5000, 0.1892) x1
Tc (0.5016, 0.0000, 0.4882) x1


First-principles (PBE) data for an optimized crystal structure of Mg2CuTc, as listed in the Alexandria database.

## Properties
Energy = -4.250 eV per atom
N(E_F) = 0.78 states/eV per atom
ΔE_f = 0.163 eV/atom
Spin magnetization = 0.0004 μB/atom
Relative energy among the computed polymorphs = 19 meV per atom

a b c (Å): 5.7249 8.1773 2.7091
angles (deg): 90.00 90.00 90.00
Space group Cmmm (No. 65)
Inequivalent atoms, fractional coordinates:
Mg (0.2500, 0.2500, 0.0000) x4
Cu (0.0000, 0.0000, 0.5000) x2
Tc (0.0000, 0.5000, 0.5000) x2


Number 1: density 6.9 g/cm³. Number 2: density 8.1 g/cm³. Number 3: density 8.6 g/cm³. Number 4: density 5.8 g/cm³. Number 5: density 6.7 g/cm³. Number 6: density 5.3 g/cm³. Number 7: density 3.8 g/cm³. Number 8: density 5.5 g/cm³. Number 9: density 5.6 g/cm³. Number 10: density 5.5 g/cm³. Number 11: density 5.5 g/cm³. Number 12: density 5.5 g/cm³.